Record 1
Here is an optimized crystal structure of AgSbPt2 from Alexandria via LeMat-Bulk. Energies are from GGA-PBE.

Output
Space group: Cmmm (65)
Energy, eV/atom: -4.852
DOS(E_F), states/eV per atom: 0.4682

Lattice parameters (Å, degrees): 4.425 4.425 3.680 90.00 90.00 97.74
Element x y z (fractional)
Ag: 0.000 0.000 0.000
Sb: 0.500 0.500 0.000
Pt: 0.000 0.500 0.500
Pt: 0.500 0.000 0.500



Record 2
Here is an optimized crystal structure of CaAc2Rh2I2 from Alexandria via LeMat-Bulk. Energies are from GGA-PBE.

Output
Space group: I4/mmm (139)
Energy, eV/atom: -4.721
DOS(E_F), states/eV per atom: 0.2292

Lattice parameters (Å, degrees): 9.495 9.495 9.495 148.59 148.59 45.01
Element x y z (fractional)
Ca: 0.000 0.000 0.000
Ac: 0.394 0.394 0.000
Ac: 0.606 0.606 0.000
Rh: 0.000 0.500 0.500
Rh: 0.500 0.000 0.500
I: 0.190 0.190 0.000
I: 0.810 0.810 0.000



Record 3
Here is an optimized crystal structure of Tb2Pr6Er3In from Alexandria via LeMat-Bulk. Energies are from GGA-PBE.

Output
Space group: C2/m (12)
Energy, eV/atom: -4.565
DOS(E_F), states/eV per atom: 1.1291

Lattice parameters (Å, degrees): 6.231 6.231 11.855 95.06 95.06 120.13
Element x y z (fractional)
Tb: 0.166 0.834 0.000
Tb: 0.834 0.166 0.000
Pr: 0.090 0.417 0.751
Pr: 0.256 0.256 0.251
Pr: 0.417 0.090 0.751
Pr: 0.583 0.910 0.249
Pr: 0.744 0.744 0.749
Pr: 0.910 0.583 0.249
Er: 0.000 0.000 0.500
Er: 0.332 0.668 0.500
Er: 0.668 0.332 0.500
In: 0.500 0.500 0.000



Record 4
Here is an optimized crystal structure of Na2TiGeP from Alexandria via LeMat-Bulk. Energies are from GGA-PBE.

Output
Space group: P4/mmm (123)
Energy, eV/atom: -3.419
DOS(E_F), states/eV per atom: 1.0692

Lattice parameters (Å, degrees): 5.676 5.676 4.632 90.00 90.00 90.00
Element x y z (fractional)
Na: 0.000 0.500 0.000
Na: 0.500 0.000 0.000
Ti: 0.000 0.000 0.000
Ge: 0.500 0.500 0.500
P: 0.000 0.000 0.500